Entry 1:
A relaxed structure of YFe2Sb. Source: Alexandria via LeMat-Bulk, functional PBE.

Cell lengths 5.399, 5.399, 5.399 Å; angles 141.40, 130.05, 64.85 degrees
Fractional coordinates of all 4 atoms:
Y1 0.243 0.743 0.500
Fe1 0.772 0.272 0.500
Fe2 0.965 0.965 0.000
Sb1 0.520 0.520 0.000

## Properties
raw total energy: -27.48 eV per formula unit
DOS at the Fermi energy: 2.12 states/eV/cell
size of the total moment: 4.12 μB per formula unit
ΔE_f (raw): 0.0075 eV/atom
space-group type: Imm2, No. 44


Entry 2:
A relaxed structure of ReGeOs. Source: Alexandria via LeMat-Bulk, functional PBE.

Cell lengths 5.907, 5.907, 5.907 Å; angles 90.00, 90.00, 90.00 degrees
Fractional coordinates of all 12 atoms:
Re1 0.000 0.000 0.500
Re2 0.000 0.500 0.000
Re3 0.500 0.000 0.000
Re4 0.500 0.500 0.500
Os1 0.250 0.750 0.750
Os2 0.250 0.250 0.250
Os3 0.750 0.250 0.750
Os4 0.750 0.750 0.250
Ge1 0.500 0.500 0.000
Ge2 0.000 0.500 0.500
Ge3 0.500 0.000 0.500
Ge4 0.000 0.000 0.000

## Properties
raw total energy: -27.66 eV per formula unit
DOS at the Fermi energy: 8.19 states/eV/cell
size of the total moment: 0.00 μB per formula unit
polymorph energy (0 for the lowest one): 148.7 meV per atom
formation enthalpy at 0 K: 0.21 eV per atom
space-group type: F-43m, No. 216


Entry 3:
A relaxed structure of Cr3ReS. Source: Alexandria via LeMat-Bulk, functional PBE.

Cell lengths 4.711, 4.711, 4.711 Å; angles 90.00, 90.00, 90.00 degrees
Fractional coordinates of all 5 atoms:
Cr1 0.000 0.000 0.500
Cr2 0.500 0.000 0.000
Cr3 0.000 0.500 0.000
Re1 0.000 0.000 0.000
S1 0.500 0.500 0.500

## Properties
raw total energy: -38.35 eV per formula unit
DOS at the Fermi energy: 3.92 states/eV/cell
size of the total moment: 9.46 μB per formula unit
polymorph energy (0 for the lowest one): 825.7 meV per atom
ΔE_f (raw): 1.4182 eV/atom
space-group type: Pm-3m, No. 221